i) The following is a PBE calculation of Al2TlAs after structural relaxation, from the Alexandria database.

a = 3.5101 Å, b = 3.5080 Å, c = 7.5088 Å
α = 90.00°, β = 90.11°, γ = 90.00°
Last column: nearest neighbours and their distance in Å.
Space group Pm (No. 6)
Unique sites:
Al1 0.0000 0.0000 0.0000 [1 per cell]  4 As 2.67, 4 Al 2.94
Al2 0.4985 0.5000 0.7892 [1 per cell]  1 As 2.56
Tl1 0.9974 0.0000 0.5225 [1 per cell]  4 Al 3.19, 4 Tl 3.51
As1 0.5007 0.5000 0.1305 [1 per cell]  5 Al 2.56-2.67

Properties
**Density of states at the Fermi level**: 1.11 states/eV per cell

ii) The following is a PBE calculation of Al2TlAs after structural relaxation, from the Alexandria database.

a = 6.0582 Å, b = 10.6218 Å, c = 3.0844 Å
α = 90.00°, β = 120.51°, γ = 90.00°
Last column: nearest neighbours and their distance in Å.
Space group C2/m (No. 12)
Unique sites:
Al1 0.2500 0.2500 0.0000 [4 per cell]  6 Al 3.03-3.08, 2 Tl 3.06, 2 As 3.06
Tl1 0.0000 0.0000 0.5000 [2 per cell]  4 As 3.03, 4 Al 3.06, 2 Tl 3.08
As1 0.0000 0.5000 0.5000 [2 per cell]  4 Tl 3.03, 4 Al 3.06, 2 As 3.08

Properties
**Density of states at the Fermi level**: 1.61 states/eV per cell

Stability check: which of them is most stable? i).

i) The following is a PBE calculation of Al2TlAs after structural relaxation, from the Alexandria database.

a = 3.2061 Å, b = 3.2061 Å, c = 29.8176 Å
α = 90.00°, β = 90.00°, γ = 120.00°
Last column: nearest neighbours and their distance in Å.
Space group R3m (No. 160, hexagonal axes)
Unique sites:
Al1 0.0000 0.0000 0.0000 [3 per cell]  3 As 2.65, 3 Al 2.80
Al2 0.0000 0.0000 0.2630 [3 per cell]  3 Al 2.80
Tl1 0.0000 0.0000 0.5087 [3 per cell]  3 Al 3.20, 6 Tl 3.21
As1 0.0000 0.0000 0.7301 [3 per cell]  3 Al 2.65

Properties
**Density of states at the Fermi level**: 4.71 states/eV per cell

ii) The following is a PBE calculation of Al2TlAs after structural relaxation, from the Alexandria database.

a = 4.0464 Å, b = 4.1034 Å, c = 5.1834 Å
α = 90.00°, β = 90.00°, γ = 90.00°
Last column: nearest neighbours and their distance in Å.
Space group Pmmm (No. 47)
Unique sites:
Al1 0.0000 0.0000 0.0000 [1 per cell]  4 As 2.88
Al2 0.5000 0.0000 0.5000 [1 per cell]  4 Tl 2.88
Tl1 0.0000 0.5000 0.5000 [1 per cell]  4 Al 2.88
As1 0.5000 0.5000 0.0000 [1 per cell]  4 Al 2.88

Properties
**Density of states at the Fermi level**: 1.64 states/eV per cell

iii) The following is a PBE calculation of Al2TlAs after structural relaxation, from the Alexandria database.

a = 3.7716 Å, b = 3.7716 Å, c = 21.6957 Å
α = 90.00°, β = 90.00°, γ = 120.00°
Last column: nearest neighbours and their distance in Å.
Space group R-3m (No. 166, hexagonal axes)
Unique sites:
Al1 0.0000 0.0000 0.2337 [6 per cell]  3 As 2.62
Tl1 0.0000 0.0000 0.0000 [3 per cell]  6 Al 3.07
As1 0.0000 0.0000 0.5000 [3 per cell]  6 Al 2.62

Properties
**Density of states at the Fermi level**: 1.68 states/eV per cell

iv) The following is a PBE calculation of Al2TlAs after structural relaxation, from the Alexandria database.

a = 8.5190 Å, b = 3.6885 Å, c = 6.2731 Å
α = 90.00°, β = 105.09°, γ = 90.00°
Last column: nearest neighbours and their distance in Å.
Space group Cm (No. 8)
Unique sites:
Al1 0.0000 0.0000 0.0000 [2 per cell]  3 As 2.64-2.69, 3 Al 2.68-2.79
Al2 0.2447 0.5000 0.1761 [2 per cell]  3 Al 2.68-2.79, 2 As 2.75
Tl1 0.0118 0.5000 0.4797 [2 per cell]  3 Al 3.09-3.15, 2 As 3.38
As1 0.2746 0.0000 0.8646 [2 per cell]  5 Al 2.64-2.75

Properties
**Density of states at the Fermi level**: 2.87 states/eV per cell

Stability check: which of them is most stable? iii).

i) The following is a PBE calculation of AlTlAs2 after structural relaxation, from the Alexandria database.

a = 3.8074 Å, b = 4.7074 Å, c = 4.8673 Å
α = 90.00°, β = 90.00°, γ = 90.00°
Last column: nearest neighbours and their distance in Å.
Space group Pmmm (No. 47)
Unique sites:
Al1 0.0000 0.0000 0.0000 [1 per cell]  4 Tl 3.03, 8 As 3.09-3.39
Tl1 0.5000 0.5000 0.0000 [1 per cell]  4 Al 3.03, 8 As 3.09-3.39
As1 0.0000 0.5000 0.5000 [1 per cell]  4 As 3.03, 4 Tl 3.09, 4 Al 3.39
As2 0.5000 0.0000 0.5000 [1 per cell]  4 As 3.03, 4 Al 3.09, 4 Tl 3.39

Properties
**Density of states at the Fermi level**: 1.77 states/eV per cell

ii) The following is a PBE calculation of AlTlAs2 after structural relaxation, from the Alexandria database.

a = 5.3781 Å, b = 5.3781 Å, c = 6.0200 Å
α = 90.00°, β = 90.00°, γ = 90.00°
Last column: nearest neighbours and their distance in Å.
Space group I4/mmm (No. 139)
Unique sites:
Al1 0.0000 0.0000 0.0000 [2 per cell]  2 Tl 3.01, 8 As 3.08
Tl1 0.0000 0.0000 0.5000 [2 per cell]  2 Al 3.01, 8 As 3.08
As1 0.0000 0.5000 0.2500 [4 per cell]  2 As 3.01, 4 Tl 3.08, 4 Al 3.08

Properties
**Density of states at the Fermi level**: 3.58 states/eV per cell

Stability check: which of them is most stable? ii).